The following is a PBE calculation of Pr10Nd4Y after structural relaxation, from Alexandria.

Values from the calculation:
VASP energy   -4.191 eV per atom

The structure in CIF format:
```
data_Pr10Nd4Y
_chemical_formula_sum 'Pr20 Nd8 Y2'
_symmetry_space_group_name_H-M 'I 4/m'
_symmetry_Int_Tables_number 87
_symmetry_space_group_name_Hall '-I 4'
_cell_length_a 12.566
_cell_length_b 12.566
_cell_length_c 7.930
_cell_angle_alpha 90.00
_cell_angle_beta 90.00
_cell_angle_gamma 90.00
loop_
_atom_site_label
_atom_site_type_symbol
_atom_site_fract_x
_atom_site_fract_y
_atom_site_fract_z
Pr1 Pr 0.000 0.500 0.250
Pr2 Pr 0.099 0.800 0.249
Nd1 Nd 0.100 0.299 0.500
Y1 Y 0.000 0.000 0.000
```